1.
Entry from Alexandria: a relaxed structure of Tl4Br3F2 (GGA-PBE).

The structure in POSCAR format:
```
Tl4Br3F2
1.0
-3.9866 0.8888 1.4545
-1.2791 -4.9146 5.9597
1.4785 4.7228 7.6285
Tl Br F
4 3 2
Direct
0.6782 0.7535 0.8901 Tl
0.3218 0.2465 0.1099 Tl
0.1121 0.1994 0.5763 Tl
0.8879 0.8006 0.4237 Tl
0.3561 0.5428 0.7450 Br
0.6439 0.4572 0.2550 Br
0.0000 0.0000 0.0000 Br
0.3125 0.0150 0.3600 F
0.6875 0.9850 0.6400 F
```

Results
DOS(E_F) = 5.23 states/eV per cell
Final energy = -3.1810 eV per atom
Formation energy (no corrections) = -1.156 eV/atom

2.
Entry from Alexandria: a relaxed structure of TlBrF (GGA-PBE).

The structure in POSCAR format:
```
TlBrF
1.0
4.3312 0.0000 0.0000
0.0000 4.3312 0.0000
0.0000 0.0000 4.5672
Tl F Br
1 1 1
Direct
0.0000 0.0000 0.0000 Tl
0.0000 0.0000 0.5000 F
0.5000 0.5000 0.0000 Br
```

Results
DOS(E_F) = 1.02 states/eV per cell
Final energy = -3.0656 eV per atom
Formation energy (no corrections) = -1.095 eV/atom

3.
Entry from Alexandria: a relaxed structure of TlBrF3 (GGA-PBE).

The structure in POSCAR format:
```
TlBrF3
1.0
-3.0870 -2.9498 -1.3653
2.8351 -3.3644 0.8589
-1.5899 -0.2720 4.1825
Tl F Br
1 3 1
Direct
0.0000 0.0000 0.0000 Tl
0.5000 0.0000 0.0000 F
0.0000 0.0000 0.5000 F
0.0000 0.5000 0.0000 F
0.5000 0.5000 0.5000 Br
```

Results
DOS(E_F) = 9.01 states/eV per cell
Final energy = -3.0391 eV per atom
Formation energy (no corrections) = -1.109 eV/atom